(1)
# Ho2TmInN4 PBE-GGA optimized geometry
# Formation energy without anion corrections, eV per atom: -1.250
# Magnetization, μB per formula unit: 0.00
data_Ho2TmInN4
_cell_length_a 5.909
_cell_length_b 3.422
_cell_length_c 5.922
_cell_angle_alpha 90.00
_cell_angle_beta 110.31
_cell_angle_gamma 90.00
_symmetry_space_group_name_H-M 'P 1 2/m 1'
_symmetry_Int_Tables_number 10
_symmetry_space_group_name_Hall '-P 2y'
loop_
_atom_site_label
_atom_site_fract_x
_atom_site_fract_y
_atom_site_fract_z
Ho1 0.000 0.000 0.000
Ho2 0.000 0.500 0.500
Tm1 0.500 0.000 0.500
In1 0.500 0.500 0.000
N1 0.246 0.500 0.258
N2 0.251 0.000 0.748

---

(2)
# YHo2InN4 PBE-GGA optimized geometry
# Formation energy without anion corrections, eV per atom: -1.212
# Magnetization, μB per formula unit: 0.00
data_YHo2InN4
_cell_length_a 5.953
_cell_length_b 3.441
_cell_length_c 5.956
_cell_angle_alpha 90.00
_cell_angle_beta 110.40
_cell_angle_gamma 90.00
_symmetry_space_group_name_H-M 'P 1 2/m 1'
_symmetry_Int_Tables_number 10
_symmetry_space_group_name_Hall '-P 2y'
loop_
_atom_site_label
_atom_site_fract_x
_atom_site_fract_y
_atom_site_fract_z
Y1 0.000 0.000 0.000
Ho1 0.000 0.500 0.500
Ho2 0.500 0.000 0.500
In1 0.500 0.500 0.000
N1 0.245 0.500 0.258
N2 0.250 0.000 0.749

---

(3)
# YHo2InN PBE-GGA optimized geometry
# Formation energy without anion corrections, eV per atom: -1.010
# Magnetization, μB per formula unit: 0.00
data_YHo2InN
_cell_length_a 4.794
_cell_length_b 4.794
_cell_length_c 4.828
_cell_angle_alpha 90.00
_cell_angle_beta 90.00
_cell_angle_gamma 90.00
_symmetry_space_group_name_H-M 'P 4/m m m'
_symmetry_Int_Tables_number 123
_symmetry_space_group_name_Hall '-P 4 2'
loop_
_atom_site_label
_atom_site_fract_x
_atom_site_fract_y
_atom_site_fract_z
Y1 0.000 0.000 0.000
Ho1 0.000 0.500 0.500
In1 0.500 0.500 0.000
N1 0.000 0.000 0.500

---

(4)
# NaHo3In4 PBE-GGA optimized geometry
# DFT formation energy, eV per atom: -0.36
# Magnetization, μB per formula unit: 0.00
data_NaHo3In4
_cell_length_a 5.2672
_cell_length_b 5.2672
_cell_length_c 26.0593
_cell_angle_alpha 90.00
_cell_angle_beta 90.00
_cell_angle_gamma 120.00
_symmetry_space_group_name_H-M 'R -3 m'
_symmetry_Int_Tables_number 166
_symmetry_space_group_name_Hall '-R 3 2"'
loop_
_atom_site_label
_atom_site_fract_x
_atom_site_fract_y
_atom_site_fract_z
Na1 0.0000 0.0000 0.0000
Ho1 0.0000 0.0000 0.2530
Ho2 0.0000 0.0000 0.5000
In1 0.0000 0.0000 0.1247
In2 0.0000 0.0000 0.3753

---

Which value of magnetization does entry 1 give? 0.00 μB per formula unit